No. 1
Entry from Alexandria via LeMat-Bulk: crystalline CrMo3 at its relaxed geometry (PBE).

The calculation puts the theoretical density at 9.3 Mg/m³. The value obtained for the formation enthalpy at 0 K is 1.72 eV/f.u. The calculation puts the density of states at the Fermi level at 1.732 states/eV per atom.

The space group is Pm-3m (No. 221) and the conventional cell measures 3.935, 3.935 and 3.935 Å, with angles of 90.00, 90.00 and 90.00 degrees. Symmetry generates all atoms from Cr at (0.000, 0.000, 0.000) and Mo at (0.000, 0.500, 0.500).

---

No. 2
Entry from Alexandria via LeMat-Bulk: crystalline LiPa2Ge4Ir3 at its relaxed geometry (PBE).

The calculation puts the theoretical density at 12.3 Mg/m³. The value obtained for the formation enthalpy at 0 K is -6.03 eV/f.u. The calculation puts the density of states at the Fermi level at 0.756 states/eV per atom.

The space group is P-4m2 (No. 115) and the conventional cell measures 4.214, 4.214 and 10.127 Å, with angles of 90.00, 90.00 and 90.00 degrees. Symmetry generates all atoms from Li at (0.000, 0.000, 0.000), Pa at (0.000, 0.500, 0.751), Ge at (0.000, 0.000, 0.500), Ge at (0.000, 0.500, 0.129), Ge at (0.500, 0.500, 0.500), Ir at (0.000, 0.500, 0.369) and Ir at (0.500, 0.500, 0.000).

---

No. 3
Entry from Alexandria via LeMat-Bulk: crystalline FeNi2Os at its relaxed geometry (PBE).

The calculation puts the theoretical density at 12.4 Mg/m³. As for the energy above the most stable polymorph in this dataset: 1.7 kJ/mol of atoms. The value obtained for the formation enthalpy at 0 K is 0.33 eV/f.u. The calculation puts the density of states at the Fermi level at 1.125 states/eV per atom.

The space group is Cmmm (No. 65) and the conventional cell measures 5.116, 7.472 and 2.542 Å, with angles of 90.00, 90.00 and 90.00 degrees. Symmetry generates all atoms from Fe at (0.000, 0.000, 0.000), Ni at (0.250, 0.250, 0.500) and Os at (0.000, 0.500, 0.000).

---

No. 4
Entry from Alexandria via LeMat-Bulk: crystalline Ce2Pu2Sb2O at its relaxed geometry (PBE).

The calculation puts the theoretical density at 9.4 Mg/m³. The total energy comes out at -124.85 eV for the cell shown. The calculation puts the density of states at the Fermi level at 3.899 states/eV per atom.

The space group is I4/mmm (No. 139) and the conventional cell measures 4.687, 4.687 and 16.556 Å, with angles of 90.00, 90.00 and 90.00 degrees. Symmetry generates all atoms from Ce at (0.000, 0.000, 0.165), Pu at (0.000, 0.500, 0.000), Sb at (0.000, 0.000, 0.359) and O at (0.000, 0.000, 0.000).

---

No. 5
Entry from Alexandria via LeMat-Bulk: crystalline CeDyThHg at its relaxed geometry (PBE).

The calculation puts the theoretical density at 10.8 Mg/m³. The value obtained for the formation enthalpy at 0 K is 0.18 eV/f.u. The calculation puts the density of states at the Fermi level at 2.143 states/eV per atom.

The space group is F-43m (No. 216) and the conventional cell measures 7.671, 7.671 and 7.671 Å, with angles of 90.00, 90.00 and 90.00 degrees. Symmetry generates all atoms from Ce at (0.000, 0.000, 0.000), Dy at (0.000, 0.000, 0.500), Th at (0.250, 0.250, 0.750) and Hg at (0.250, 0.250, 0.250).

---

No. 6
Entry from Alexandria via LeMat-Bulk: crystalline TbPmPb at its relaxed geometry (PBE).

The calculation puts the theoretical density at 8.2 Mg/m³. As for the energy above the most stable polymorph in this dataset: 20.4 kJ/mol of atoms. The value obtained for the formation enthalpy at 0 K is -0.70 eV/f.u. The calculation puts the density of states at the Fermi level at 1.291 states/eV per atom.

The space group is F-43m (No. 216) and the conventional cell measures 7.445, 7.445 and 7.445 Å, with angles of 90.00, 90.00 and 90.00 degrees. Symmetry generates all atoms from Tb at (0.000, 0.000, 0.000), Pm at (0.000, 0.000, 0.500) and Pb at (0.250, 0.250, 0.750).

---

No. 7
Entry from Alexandria via LeMat-Bulk: crystalline Nb12Ga3Rh at its relaxed geometry (PBE).

The calculation puts the theoretical density at 8.5 Mg/m³. The value obtained for the formation enthalpy at 0 K is -3.76 eV/f.u. The calculation puts the density of states at the Fermi level at 1.157 states/eV per atom.

The space group is Pmmm (No. 47) and the conventional cell measures 5.184, 5.199 and 10.387 Å, with angles of 90.00, 90.00 and 90.00 degrees. Symmetry generates all atoms from Nb at (0.000, 0.000, 0.121), Nb at (0.000, 0.000, 0.372), Nb at (0.248, 0.500, 0.248), Nb at (0.500, 0.247, 0.500), Nb at (0.500, 0.253, 0.000), Ga at (0.000, 0.500, 0.500), Ga at (0.500, 0.000, 0.253) and Rh at (0.000, 0.500, 0.000).

---

No. 8
Entry from Alexandria via LeMat-Bulk: crystalline TaTc2Br at its relaxed geometry (PBE).

The calculation puts the theoretical density at 8.3 Mg/m³. As for the energy above the most stable polymorph in this dataset: 91.4 kJ/mol of atoms. The calculation puts the density of states at the Fermi level at 0.655 states/eV per atom.

The space group is I-42d (No. 122) and the conventional cell measures 5.812, 5.812 and 10.850 Å, with angles of 90.00, 90.00 and 90.00 degrees. Symmetry generates all atoms from Ta at (0.000, 0.000, 0.000), Tc at (0.240, 0.250, 0.625) and Br at (0.000, 0.000, 0.500).

---

No. 9
Entry from Alexandria via LeMat-Bulk: crystalline CuRhIO6 at its relaxed geometry (PBE).

The calculation puts the theoretical density at 6.2 Mg/m³. The total energy comes out at -92.72 eV for the cell shown. The calculation puts the density of states at the Fermi level at 0.740 states/eV per atom.

The space group is P-31c (No. 163) and the conventional cell measures 5.1755, 5.1755 and 9.0460 Å, with angles of 90.00, 90.00 and 120.00 degrees. Symmetry generates all atoms from Cu at (0.0000, 0.0000, 0.0000), Rh at (0.3333, 0.6667, 0.2500), I at (0.3333, 0.6667, 0.7500) and O at (0.0076, 0.3565, 0.6309).

---

No. 10
Entry from Alexandria via LeMat-Bulk: crystalline DyCuPtRh at its relaxed geometry (PBE).

The calculation puts the theoretical density at 12.8 Mg/m³. As for the energy above the most stable polymorph in this dataset: 12.3 kJ/mol of atoms. The value obtained for the formation enthalpy at 0 K is -2.25 eV/f.u. The calculation puts the density of states at the Fermi level at 0.493 states/eV per atom.

The space group is F-43m (No. 216) and the conventional cell measures 6.481, 6.481 and 6.481 Å, with angles of 90.00, 90.00 and 90.00 degrees. Symmetry generates all atoms from Dy at (0.000, 0.000, 0.000), Cu at (0.000, 0.000, 0.500), Pt at (0.250, 0.250, 0.750) and Rh at (0.250, 0.250, 0.250).

---

No. 11
Entry from Alexandria via LeMat-Bulk: crystalline YTiTeN2 at its relaxed geometry (PBE).

The calculation puts the theoretical density at 5.3 Mg/m³. As for the energy above the most stable polymorph in this dataset: 0.0 kJ/mol of atoms. The calculation puts the density of states at the Fermi level at 0.496 states/eV per atom.

The space group is P4/mmm (No. 123) and the conventional cell measures 4.099, 4.099 and 5.434 Å, with angles of 90.00, 90.00 and 90.00 degrees. Symmetry generates all atoms from Y at (0.000, 0.000, 0.000), Ti at (0.500, 0.500, 0.500), Te at (0.500, 0.500, 0.000) and N at (0.000, 0.500, 0.500).

---

No. 12
Entry from Alexandria via LeMat-Bulk: crystalline Th3Ga4Ru4 at its relaxed geometry (PBE).

The calculation puts the theoretical density at 10.6 Mg/m³. The value obtained for the formation enthalpy at 0 K is -5.81 eV/f.u. The calculation puts the density of states at the Fermi level at 0.760 states/eV per atom.

The space group is Immm (No. 71) and the conventional cell measures 3.930, 7.598 and 14.407 Å, with angles of 90.00, 90.00 and 90.00 degrees. Symmetry generates all atoms from Th at (0.000, 0.000, 0.000), Th at (0.000, 0.500, 0.123), Ga at (0.000, 0.305, 0.327), Ru at (0.000, 0.000, 0.224) and Ru at (0.000, 0.211, 0.500).